A plane-wave DFT calculation with PBE was carried out for a relaxed structure of BeCrMoIr.

abc: 5.8785 5.8785 5.8785
angles: 90.00 90.00 90.00
Last column: nearest neighbours and their distance in Å.
Element x y z (fractional)
Be1 0.0000 0.0000 0.0000  4 Mo 2.55, 4 Ir 2.55
Be2 0.0000 0.5000 0.5000  4 Mo 2.55, 4 Ir 2.55
Be3 0.5000 0.0000 0.5000  4 Mo 2.55, 4 Ir 2.55
Be4 0.5000 0.5000 0.0000  4 Mo 2.55, 4 Ir 2.55
Cr1 0.0000 0.0000 0.5000  4 Mo 2.55, 4 Ir 2.55
Cr2 0.0000 0.5000 0.0000  4 Mo 2.55, 4 Ir 2.55
Cr3 0.5000 0.0000 0.0000  4 Mo 2.55, 4 Ir 2.55
Cr4 0.5000 0.5000 0.5000  4 Mo 2.55, 4 Ir 2.55
Mo1 0.2500 0.2500 0.7500  4 Cr 2.55, 4 Be 2.55
Mo2 0.2500 0.7500 0.2500  4 Cr 2.55, 4 Be 2.55
Mo3 0.7500 0.2500 0.2500  4 Cr 2.55, 4 Be 2.55
Mo4 0.7500 0.7500 0.7500  4 Cr 2.55, 4 Be 2.55
Ir1 0.2500 0.2500 0.2500  4 Cr 2.55, 4 Be 2.55
Ir2 0.2500 0.7500 0.7500  4 Cr 2.55, 4 Be 2.55
Ir3 0.7500 0.2500 0.7500  4 Cr 2.55, 4 Be 2.55
Ir4 0.7500 0.7500 0.2500  4 Cr 2.55, 4 Be 2.55

SG = F-43m (216)
Formation enthalpy at 0 K = -0.33 eV per formula unit
Density of states at the Fermi level = 12.31 states/eV per cell

***

A plane-wave DFT calculation with PBE was carried out for a relaxed structure of Rb2CaP.

abc: 13.1641 13.1641 5.4468
angles: 90.00 90.00 90.00
Last column: nearest neighbours and their distance in Å.
Element x y z (fractional)
Rb1 0.0744 0.7500 0.1250  2 P 3.50
Rb2 0.2500 0.0744 0.8750  2 P 3.50
Rb3 0.2500 0.4256 0.3750  2 P 3.50
Rb4 0.4256 0.7500 0.6250  2 P 3.50
Rb5 0.5744 0.2500 0.6250  2 P 3.50
Rb6 0.7500 0.5744 0.3750  2 P 3.50
Rb7 0.7500 0.9256 0.8750  2 P 3.50
Rb8 0.9256 0.2500 0.1250  2 P 3.50
Ca1 0.0000 0.0000 0.5000  2 P 2.72
Ca2 0.0000 0.5000 0.7500  2 P 2.72
Ca3 0.5000 0.0000 0.2500  2 P 2.72
Ca4 0.5000 0.5000 0.0000  2 P 2.72
P1 0.0000 0.0000 0.0000  2 Ca 2.72
P2 0.0000 0.5000 0.2500  2 Ca 2.72
P3 0.5000 0.0000 0.7500  2 Ca 2.72
P4 0.5000 0.5000 0.5000  2 Ca 2.72

SG = I-42d (122)
Formation enthalpy at 0 K = -0.89 eV per formula unit
Density of states at the Fermi level = 9.51 states/eV per cell

***

A plane-wave DFT calculation with PBE was carried out for a relaxed structure of Ce2DyPtRh5.

abc: 7.9171 7.9171 7.9171
angles: 118.50 118.50 92.62
Last column: nearest neighbours and their distance in Å.
Element x y z (fractional)
Ce1 0.1381 0.6381 0.7762  2 Rh 2.38
Ce2 0.3619 0.1381 0.5000  2 Rh 2.38
Ce3 0.6381 0.8619 0.5000  2 Rh 2.38
Ce4 0.8619 0.3619 0.2238  2 Rh 2.38
Dy1 0.2500 0.2500 0.0000  2 Rh 2.73
Dy2 0.7500 0.7500 0.0000  2 Rh 2.73
Pt1 0.2500 0.7500 0.5000  4 Rh 2.61
Pt2 0.7500 0.2500 0.5000  4 Rh 2.61
Rh1 0.0000 0.0000 0.0000  2 Dy 2.73
Rh2 0.0638 0.1626 0.5000  1 Ce 2.38, 1 Pt 2.61
Rh3 0.1626 0.6626 0.0988  1 Ce 2.38, 1 Pt 2.61
Rh4 0.3374 0.4362 0.5000  1 Ce 2.38, 1 Pt 2.61
Rh5 0.4362 0.9362 0.0988  1 Ce 2.38, 1 Pt 2.61
Rh6 0.5000 0.5000 0.0000  2 Dy 2.73
Rh7 0.5638 0.0638 0.9012  1 Ce 2.38, 1 Pt 2.61
Rh8 0.6626 0.5638 0.5000  1 Ce 2.38, 1 Pt 2.61
Rh9 0.8374 0.3374 0.9012  1 Ce 2.38, 1 Pt 2.61
Rh10 0.9362 0.8374 0.5000  1 Ce 2.38, 1 Pt 2.61

SG = I4/mcm (140)
Formation enthalpy at 0 K = -3.82 eV per formula unit
Density of states at the Fermi level = 16.89 states/eV per cell

***

A plane-wave DFT calculation with PBE was carried out for a relaxed structure of NdThPdAu.

abc: 4.6057 3.8772 11.4794
angles: 90.00 90.00 90.00
Last column: nearest neighbours and their distance in Å.
Element x y z (fractional)
Nd1 0.0000 0.0000 0.0000  3 Pd 3.06-3.31, 4 Au 3.08
Nd2 0.0000 0.5000 0.5000  3 Pd 3.06-3.31, 4 Au 3.08
Th1 0.5000 0.0000 0.7254  4 Pd 3.05, 3 Au 3.16-3.24
Th2 0.5000 0.5000 0.2254  4 Pd 3.05, 3 Au 3.16-3.24
Pd1 0.0000 0.0000 0.2662  4 Th 3.05, 3 Nd 3.06-3.31, 2 Au 3.07
Pd2 0.0000 0.5000 0.7662  4 Th 3.05, 3 Nd 3.06-3.31, 2 Au 3.07
Au1 0.5000 0.0000 0.4430  2 Pd 3.07, 4 Nd 3.08, 3 Th 3.16-3.24
Au2 0.5000 0.5000 0.9430  2 Pd 3.07, 4 Nd 3.08, 3 Th 3.16-3.24

SG = Amm2 (38)
Formation enthalpy at 0 K = -3.02 eV per formula unit
Density of states at the Fermi level = 5.42 states/eV per cell
ΔE to the lowest computed polymorph = 0.00 kJ/mol of atoms

***

A plane-wave DFT calculation with PBE was carried out for a relaxed structure of Ac2GaCuO6.

abc: 3.9727 3.9727 7.8799
angles: 90.00 90.00 90.00
Last column: nearest neighbours and their distance in Å.
Element x y z (fractional)
Ac1 0.0000 0.0000 0.2443  12 O 2.77-2.83
Ac2 0.0000 0.0000 0.7557  12 O 2.77-2.83
Ga1 0.5000 0.5000 0.5000  6 O 1.99
Cu1 0.5000 0.5000 0.0000  6 O 1.95-1.99
O1 0.0000 0.5000 0.0000  2 Cu 1.99
O2 0.0000 0.5000 0.5000  2 Ga 1.99
O3 0.5000 0.0000 0.0000  2 Cu 1.99
O4 0.5000 0.0000 0.5000  2 Ga 1.99
O5 0.5000 0.5000 0.2476  1 Cu 1.95, 1 Ga 1.99
O6 0.5000 0.5000 0.7524  1 Cu 1.95, 1 Ga 1.99

SG = P4/mmm (123)
Density of states at the Fermi level = 0.11 states/eV per cell
Formation energy from raw total energies = -2.314 eV/atom

***

A plane-wave DFT calculation with PBE was carried out for a relaxed structure of TaV2B.

abc: 6.8757 6.8757 4.5690
angles: 90.00 90.00 90.00
Last column: nearest neighbours and their distance in Å.
Element x y z (fractional)
Ta1 0.0000 0.0000 0.0000  2 B 2.28
Ta2 0.0000 0.5000 0.2500  2 B 2.28
Ta3 0.5000 0.0000 0.7500  2 B 2.28
Ta4 0.5000 0.5000 0.5000  2 B 2.28
V1 0.1738 0.2500 0.6250  2 B 2.17
V2 0.2500 0.6738 0.8750  2 B 2.17
V3 0.2500 0.8262 0.3750  2 B 2.17
V4 0.3262 0.2500 0.1250  2 B 2.17
V5 0.6738 0.7500 0.1250  2 B 2.17
V6 0.7500 0.1738 0.3750  2 B 2.17
V7 0.7500 0.3262 0.8750  2 B 2.17
V8 0.8262 0.7500 0.6250  2 B 2.17
B1 0.0000 0.0000 0.5000  4 V 2.17, 2 Ta 2.28
B2 0.0000 0.5000 0.7500  4 V 2.17, 2 Ta 2.28
B3 0.5000 0.0000 0.2500  4 V 2.17, 2 Ta 2.28
B4 0.5000 0.5000 0.0000  4 V 2.17, 2 Ta 2.28

SG = I-42d (122)
Formation enthalpy at 0 K = 0.77 eV per formula unit
Density of states at the Fermi level = 18.20 states/eV per cell
ΔE to the lowest computed polymorph = 59.96 kJ/mol of atoms

***

A plane-wave DFT calculation with PBE was carried out for a relaxed structure of Nd8YSc2.

abc: 9.3208 9.3208 9.3208
angles: 145.48 125.51 66.12
Last column: nearest neighbours and their distance in Å.
Element x y z (fractional)
Nd1 0.1536 0.3550 0.7986  3 Sc 3.38-3.49, 1 Y 3.41, 6 Nd 3.44-3.77
Nd2 0.1591 0.1591 0.0000  2 Sc 3.51, 8 Nd 3.51-3.77, 2 Y 3.72
Nd3 0.3036 0.0000 0.3036  7 Nd 3.35-3.59, 2 Sc 3.58
Nd4 0.4437 0.6450 0.7986  3 Sc 3.38-3.49, 1 Y 3.41, 6 Nd 3.44-3.77
Nd5 0.5563 0.3550 0.2014  3 Sc 3.38-3.49, 1 Y 3.41, 6 Nd 3.44-3.77
Nd6 0.6964 0.0000 0.6964  7 Nd 3.35-3.59, 2 Sc 3.58
Nd7 0.8409 0.8409 0.0000  2 Sc 3.51, 8 Nd 3.51-3.77, 2 Y 3.72
Nd8 0.8464 0.6450 0.2014  3 Sc 3.38-3.49, 1 Y 3.41, 6 Nd 3.44-3.77
Y1 0.0000 0.5000 0.5000  12 Nd 3.41-3.79
Sc1 0.2974 0.7974 0.5000  10 Nd 3.38-3.58
Sc2 0.7026 0.2026 0.5000  10 Nd 3.38-3.58

SG = Immm (71)
Formation enthalpy at 0 K = 1.36 eV per formula unit
Density of states at the Fermi level = 18.44 states/eV per cell
ΔE to the lowest computed polymorph = 0.00 kJ/mol of atoms

***

A plane-wave DFT calculation with PBE was carried out for a relaxed structure of Pm3TeRh.

abc: 7.9520 4.3399 16.8035
angles: 90.00 90.00 90.00
Last column: nearest neighbours and their distance in Å.
Element x y z (fractional)
Pm1 0.0105 0.2500 0.0939  3 Rh 2.94-3.00
Pm2 0.1426 0.7500 0.4481  2 Rh 2.85
Pm3 0.1732 0.2500 0.7058  1 Rh 2.85, 2 Te 3.13
Pm4 0.3268 0.7500 0.2058  1 Rh 2.85, 2 Te 3.13
Pm5 0.3574 0.2500 0.9481  2 Rh 2.85
Pm6 0.4895 0.7500 0.5939  3 Rh 2.94-3.00
Pm7 0.5105 0.2500 0.4061  3 Rh 2.94-3.00
Pm8 0.6426 0.7500 0.0519  2 Rh 2.85
Pm9 0.6732 0.2500 0.7942  1 Rh 2.85, 2 Te 3.13
Pm10 0.8268 0.7500 0.2942  1 Rh 2.85, 2 Te 3.13
Pm11 0.8574 0.2500 0.5519  2 Rh 2.85
Pm12 0.9895 0.7500 0.9061  3 Rh 2.94-3.00
Te1 0.1227 0.2500 0.2990  6 Pm 3.13-3.32
Te2 0.3773 0.7500 0.7990  6 Pm 3.13-3.32
Te3 0.6227 0.2500 0.2010  6 Pm 3.13-3.32
Te4 0.8773 0.7500 0.7010  6 Pm 3.13-3.32
Rh1 0.2345 0.7500 0.0419  6 Pm 2.85-3.00
Rh2 0.2655 0.2500 0.5419  6 Pm 2.85-3.00
Rh3 0.7345 0.7500 0.4581  6 Pm 2.85-3.00
Rh4 0.7655 0.2500 0.9581  6 Pm 2.85-3.00

SG = Pnma (62)
Density of states at the Fermi level = 13.85 states/eV per cell
Formation energy from raw total energies = -0.884 eV/atom
ΔE to the lowest computed polymorph = 0.00 kJ/mol of atoms

***

A plane-wave DFT calculation with PBE was carried out for a relaxed structure of BaAsH.

abc: 7.6834 8.6286 4.8648
angles: 90.00 90.00 90.00
Last column: nearest neighbours and their distance in Å.
Element x y z (fractional)
Ba1 0.0000 0.0000 0.0000  2 H 2.94
Ba2 0.0000 0.5000 0.0000  2 H 2.94
Ba3 0.5000 0.0000 0.5000  2 H 2.94
Ba4 0.5000 0.5000 0.5000  2 H 2.94
As1 0.1567 0.2500 0.4837  1 H 1.57
As2 0.3433 0.7500 0.9837  1 H 1.57
As3 0.6567 0.2500 0.0163  1 H 1.57
As4 0.8433 0.7500 0.5163  1 H 1.57
H1 0.0352 0.7500 0.4078  1 As 1.57
H2 0.4648 0.2500 0.9078  1 As 1.57
H3 0.5352 0.7500 0.0922  1 As 1.57
H4 0.9648 0.2500 0.5922  1 As 1.57

SG = Pnma (62)
Density of states at the Fermi level = 0.00 states/eV per cell
ΔE to the lowest computed polymorph = 5.42 kJ/mol of atoms

***

A plane-wave DFT calculation with PBE was carried out for a relaxed structure of LaSmCuRu.

abc: 7.1040 7.1040 7.1040
angles: 90.00 90.00 90.00
Last column: nearest neighbours and their distance in Å.
Element x y z (fractional)
La1 0.0000 0.0000 0.0000  4 Ru 3.08, 4 Cu 3.08
La2 0.0000 0.5000 0.5000  4 Ru 3.08, 4 Cu 3.08
La3 0.5000 0.0000 0.5000  4 Ru 3.08, 4 Cu 3.08
La4 0.5000 0.5000 0.0000  4 Ru 3.08, 4 Cu 3.08
Sm1 0.0000 0.0000 0.5000  4 Cu 3.08, 4 Ru 3.08
Sm2 0.0000 0.5000 0.0000  4 Cu 3.08, 4 Ru 3.08
Sm3 0.5000 0.0000 0.0000  4 Cu 3.08, 4 Ru 3.08
Sm4 0.5000 0.5000 0.5000  4 Cu 3.08, 4 Ru 3.08
Cu1 0.2500 0.2500 0.2500  4 La 3.08, 4 Sm 3.08
Cu2 0.2500 0.7500 0.7500  4 La 3.08, 4 Sm 3.08
Cu3 0.7500 0.2500 0.7500  4 La 3.08, 4 Sm 3.08
Cu4 0.7500 0.7500 0.2500  4 La 3.08, 4 Sm 3.08
Ru1 0.2500 0.2500 0.7500  4 Sm 3.08, 4 La 3.08
Ru2 0.2500 0.7500 0.2500  4 Sm 3.08, 4 La 3.08
Ru3 0.7500 0.2500 0.2500  4 Sm 3.08, 4 La 3.08
Ru4 0.7500 0.7500 0.7500  4 Sm 3.08, 4 La 3.08

SG = F-43m (216)
Formation enthalpy at 0 K = -0.79 eV per formula unit
Density of states at the Fermi level = 8.75 states/eV per cell
ΔE to the lowest computed polymorph = 2.79 kJ/mol of atoms

***

A plane-wave DFT calculation with PBE was carried out for a relaxed structure of CeCu4P2.

abc: 10.9401 14.7166 3.8638
angles: 90.00 90.00 90.00
Last column: nearest neighbours and their distance in Å.
Element x y z (fractional)
Ce1 0.0000 0.0000 0.0000  6 P 2.94-2.95, 10 Cu 3.13-3.27
Ce2 0.1235 0.2718 0.0000  6 P 2.89-3.05, 8 Cu 3.08-3.23
Ce3 0.3765 0.7718 0.5000  6 P 2.89-3.05, 8 Cu 3.08-3.23
Ce4 0.5000 0.5000 0.5000  6 P 2.94-2.95, 10 Cu 3.13-3.27
Ce5 0.6235 0.2282 0.5000  6 P 2.89-3.05, 8 Cu 3.08-3.23
Ce6 0.8765 0.7282 0.0000  6 P 2.89-3.05, 8 Cu 3.08-3.23
Cu1 0.0670 0.5640 0.0000  5 Cu 2.39-2.63, 2 P 2.45
Cu2 0.0763 0.8315 0.5000  4 P 2.41-2.46, 1 Cu 2.64
Cu3 0.1017 0.4456 0.5000  2 P 2.38-2.39, 5 Cu 2.60-2.63
Cu4 0.1714 0.7140 0.0000  3 P 2.32-2.42, 1 Cu 2.49
Cu5 0.2367 0.9653 0.5000  3 P 2.41-2.48, 6 Cu 2.59-2.67
Cu6 0.2400 0.5889 0.5000  3 P 2.32-2.42, 1 Cu 2.60
Cu7 0.2600 0.0889 0.0000  3 P 2.32-2.42, 1 Cu 2.60
Cu8 0.2633 0.4653 0.0000  3 P 2.41-2.48, 6 Cu 2.59-2.67
Cu9 0.3286 0.2140 0.5000  3 P 2.32-2.42, 1 Cu 2.49
Cu10 0.3983 0.9456 0.0000  2 P 2.38-2.39, 5 Cu 2.60-2.63
Cu11 0.4237 0.3315 0.0000  4 P 2.41-2.46, 1 Cu 2.64
Cu12 0.4330 0.0640 0.5000  5 Cu 2.39-2.63, 2 P 2.45
Cu13 0.5670 0.9360 0.5000  5 Cu 2.39-2.63, 2 P 2.45
Cu14 0.5763 0.6685 0.0000  4 P 2.41-2.46, 1 Cu 2.64
Cu15 0.6017 0.0544 0.0000  2 P 2.38-2.39, 5 Cu 2.60-2.63
Cu16 0.6714 0.7860 0.5000  3 P 2.32-2.42, 1 Cu 2.49
Cu17 0.7367 0.5347 0.0000  3 P 2.41-2.48, 6 Cu 2.59-2.67
Cu18 0.7400 0.9111 0.0000  3 P 2.32-2.42, 1 Cu 2.60
Cu19 0.7600 0.4111 0.5000  3 P 2.32-2.42, 1 Cu 2.60
Cu20 0.7633 0.0347 0.5000  3 P 2.41-2.48, 6 Cu 2.59-2.67
Cu21 0.8286 0.2860 0.0000  3 P 2.32-2.42, 1 Cu 2.49
Cu22 0.8983 0.5544 0.5000  2 P 2.38-2.39, 5 Cu 2.60-2.63
Cu23 0.9237 0.1685 0.5000  4 P 2.41-2.46, 1 Cu 2.64
Cu24 0.9330 0.4360 0.0000  5 Cu 2.39-2.63, 2 P 2.45
P1 0.0550 0.6665 0.5000  7 Cu 2.32-2.45
P2 0.1313 0.1145 0.5000  5 Cu 2.41-2.61
P3 0.2055 0.8699 0.0000  6 Cu 2.32-2.46
P4 0.2945 0.3699 0.5000  6 Cu 2.32-2.46
P5 0.3687 0.6145 0.0000  5 Cu 2.41-2.61
P6 0.4450 0.1665 0.0000  7 Cu 2.32-2.45
P7 0.5550 0.8335 0.0000  7 Cu 2.32-2.45
P8 0.6313 0.3855 0.0000  5 Cu 2.41-2.61
P9 0.7055 0.6301 0.5000  6 Cu 2.32-2.46
P10 0.7945 0.1301 0.0000  6 Cu 2.32-2.46
P11 0.8687 0.8855 0.5000  5 Cu 2.41-2.61
P12 0.9450 0.3335 0.5000  7 Cu 2.32-2.45

SG = Pnnm (58)
Formation enthalpy at 0 K = -3.65 eV per formula unit
Density of states at the Fermi level = 33.49 states/eV per cell
ΔE to the lowest computed polymorph = 0.00 kJ/mol of atoms

***

A plane-wave DFT calculation with PBE was carried out for a relaxed structure of La5Ge2P.

abc: 12.5566 9.1225 8.1380
angles: 90.00 90.00 90.00
Last column: nearest neighbours and their distance in Å.
Element x y z (fractional)
La1 0.0011 0.2500 0.0450  4 Ge 3.18-3.24, 1 P 3.25, 4 La 3.49-3.56
La2 0.0722 0.0376 0.6953  2 P 2.96-3.01, 1 Ge 3.30
La3 0.0722 0.4624 0.6953  2 P 2.96-3.01, 1 Ge 3.30
La4 0.2030 0.7500 0.3550  1 P 2.91, 2 Ge 3.25
La5 0.2120 0.2500 0.3401  1 P 2.93, 4 Ge 3.23-3.27
La6 0.2880 0.7500 0.8401  1 P 2.93, 4 Ge 3.23-3.27
La7 0.2970 0.2500 0.8550  1 P 2.91, 2 Ge 3.25
La8 0.4278 0.5376 0.1953  2 P 2.96-3.01, 1 Ge 3.30
La9 0.4278 0.9624 0.1953  2 P 2.96-3.01, 1 Ge 3.30
La10 0.4989 0.7500 0.5450  4 Ge 3.18-3.24, 1 P 3.25, 4 La 3.49-3.56
La11 0.5011 0.2500 0.4550  4 Ge 3.18-3.24, 1 P 3.25, 4 La 3.49-3.56
La12 0.5722 0.0376 0.8047  2 P 2.96-3.01, 1 Ge 3.30
La13 0.5722 0.4624 0.8047  2 P 2.96-3.01, 1 Ge 3.30
La14 0.7030 0.7500 0.1450  1 P 2.91, 2 Ge 3.25
La15 0.7120 0.2500 0.1599  1 P 2.93, 4 Ge 3.23-3.27
La16 0.7880 0.7500 0.6599  1 P 2.93, 4 Ge 3.23-3.27
La17 0.7970 0.2500 0.6450  1 P 2.91, 2 Ge 3.25
La18 0.9278 0.5376 0.3047  2 P 2.96-3.01, 1 Ge 3.30
La19 0.9278 0.9624 0.3047  2 P 2.96-3.01, 1 Ge 3.30
La20 0.9989 0.7500 0.9550  4 Ge 3.18-3.24, 1 P 3.25, 4 La 3.49-3.56
Ge1 0.1720 0.5069 0.0673  8 La 3.18-3.39
Ge2 0.1720 0.9931 0.0673  8 La 3.18-3.39
Ge3 0.3280 0.0069 0.5673  8 La 3.18-3.39
Ge4 0.3280 0.4931 0.5673  8 La 3.18-3.39
Ge5 0.6720 0.5069 0.4327  8 La 3.18-3.39
Ge6 0.6720 0.9931 0.4327  8 La 3.18-3.39
Ge7 0.8280 0.0069 0.9327  8 La 3.18-3.39
Ge8 0.8280 0.4931 0.9327  8 La 3.18-3.39
P1 0.0112 0.7500 0.5566  7 La 2.91-3.25
P2 0.4888 0.2500 0.0566  7 La 2.91-3.25
P3 0.5112 0.7500 0.9434  7 La 2.91-3.25
P4 0.9888 0.2500 0.4434  7 La 2.91-3.25

SG = Pnma (62)
Formation enthalpy at 0 K = -6.96 eV per formula unit
Density of states at the Fermi level = 26.36 states/eV per cell

***

What is the density of states at the Fermi level in the first record? 12.31 states/eV per cell

***

Among the records above, which one has the lowest density of states at the Fermi level? BaAsH

***

Which value of density of states at the Fermi level does entry 12 give? 26.36 states/eV per cell